## Pr4CoSeBr2 (PBE)

Data for Pr4CoSeBr2 after structural relaxation.

Cell: 7.629 4.044 7.868 Å, 90.00 107.17 90.00°
Space group P2/m (No. 10)
Asymmetric unit:
1 Pr 0.203 0.000 0.195
2 Pr 0.248 0.500 0.790
3 Co 0.000 0.500 0.000
4 Se 0.500 0.000 0.000
5 Br 0.000 0.000 0.500
6 Br 0.500 0.500 0.500

Output
uncorrected energy: -0.386 Ry/atom
raw formation energy: -1116 meV/atom
Fermi-level density of states: 5.3 states/eV per cell